No. 1
VASP calculation (PBE) on crystalline Mn2AsN at its relaxed geometry.

Structure (POSCAR):
```
Mn2AsN
1.0
-0.465 -4.190 2.253
4.597 -0.978 -0.870
3.340 -0.417 4.984
Mn N As
4 2 2
direct
0.523 0.125 0.250
0.375 0.477 0.750
0.875 0.773 0.750
0.227 0.625 0.250
0.250 0.750 0.500
0.500 0.500 0.000
0.750 0.250 0.500
0.000 0.000 0.000
```

Properties
calculated density	5.81	g/cm³
symmetry	I-42d, No. 122
formation energy without anion corrections	-0.06	eV per atom
electronic total energy	-0.290	Ha/atom
size of the total moment	4.165	μB/f.u.

***

No. 2
VASP calculation (PBE) on crystalline KLiNi2 at its relaxed geometry.

Structure (POSCAR):
```
KLiNi2
1.0
-1.794 -4.137 -1.002
0.504 -1.309 4.401
-2.336 3.852 -1.022
K Li Ni
1 1 2
direct
0.500 0.500 0.000
0.750 0.250 0.500
0.250 0.750 0.500
0.000 0.000 0.000
```

Properties
calculated density	3.90	g/cm³
symmetry	I-4m2, No. 119
electronic total energy	-0.107	Ha/atom
ΔH_f (0 K)	740	meV/atom
size of the total moment	0.851	μB/f.u.

***

No. 3
VASP calculation (PBE) on crystalline ZrCrB2H at its relaxed geometry.

Structure (POSCAR):
```
ZrCrB2H
1.0
4.318 0.000 0.000
0.000 3.354 0.000
0.000 0.000 4.318
B Cr Zr H
2 1 1 1
direct
0.000 0.000 0.500
0.500 0.000 0.000
0.500 0.500 0.500
0.000 0.000 0.000
0.000 0.500 0.000
```

Properties
calculated density	4.40	g/cm³
symmetry	P4/mmm, No. 123
electronic total energy	-0.207	Ha/atom
size of the total moment	0.000	μB/f.u.

***

No. 4
VASP calculation (PBE) on crystalline LiPuZrMn at its relaxed geometry.

Structure (POSCAR):
```
LiPuZrMn
1.0
4.730 0.000 0.000
2.365 4.096 0.000
2.365 1.365 3.862
Mn Zr Pu Li
1 1 1 1
direct
0.500 0.500 0.500
0.250 0.250 0.250
0.750 0.750 0.750
0.000 0.000 0.000
```

Properties
calculated density	8.81	g/cm³
symmetry	F-43m, No. 216
electronic total energy	-0.305	Ha/atom
ΔH_f (0 K)	195	meV/atom
size of the total moment	3.766	μB/f.u.